[1]
# GGA-PBEsol ScAgO2, relaxed
data_ScAgO2
_chemical_formula_sum 'Sc1 Ag1 O2'
_cell_length_a 6.4116
_cell_length_b 6.4116
_cell_length_c 6.4116
_cell_angle_alpha 28.86
_cell_angle_beta 28.86
_cell_angle_gamma 28.86
_symmetry_space_group_name_H-M 'P 1'
_symmetry_Int_Tables_number 1
loop_
_symmetry_equiv_pos_as_xyz
'x,y,z'
loop_
_atom_site_label
_atom_site_type_symbol
_atom_site_fract_x
_atom_site_fract_y
_atom_site_fract_z
_atom_site_occupancy
Sc1 Sc 0.0000 0.0000 0.0000 1
Ag1 Ag 0.5000 0.5000 0.5000 1
O1 O 0.3887 0.3887 0.3887 1
O2 O 0.6113 0.6113 0.6113 1
# Formation energy from raw total energies   -2.29 eV/atom
# Mass density   5.7 g/cm³
# Uncorrected energy   -0.543 Ry/atom

***

[2]
# GGA-PBEsol ScAg3O, relaxed
data_ScAg3O
_chemical_formula_sum 'Sc1 Ag3 O1'
_cell_length_a 5.0818
_cell_length_b 5.0818
_cell_length_c 5.0818
_cell_angle_alpha 90.00
_cell_angle_beta 90.00
_cell_angle_gamma 90.00
_symmetry_space_group_name_H-M 'P 1'
_symmetry_Int_Tables_number 1
loop_
_symmetry_equiv_pos_as_xyz
'x,y,z'
loop_
_atom_site_label
_atom_site_type_symbol
_atom_site_fract_x
_atom_site_fract_y
_atom_site_fract_z
_atom_site_occupancy
Sc1 Sc 0.0000 0.0000 0.0000 1
Ag1 Ag 0.0000 0.0000 0.5000 1
Ag2 Ag 0.0000 0.5000 0.0000 1
Ag3 Ag 0.5000 0.0000 0.0000 1
O1 O 0.5000 0.5000 0.5000 1
# Formation energy from raw total energies   1.55 eV/atom
# Mass density   4.9 g/cm³
# Uncorrected energy   -0.206 Ry/atom

***

[3]
# GGA-PBEsol ScAgO3, relaxed
data_ScAgO3
_chemical_formula_sum 'Sc2 Ag2 O6'
_cell_length_a 6.3767
_cell_length_b 6.3767
_cell_length_c 3.1655
_cell_angle_alpha 90.00
_cell_angle_beta 90.00
_cell_angle_gamma 103.47
_symmetry_space_group_name_H-M 'P 1'
_symmetry_Int_Tables_number 1
loop_
_symmetry_equiv_pos_as_xyz
'x,y,z'
loop_
_atom_site_label
_atom_site_type_symbol
_atom_site_fract_x
_atom_site_fract_y
_atom_site_fract_z
_atom_site_occupancy
Sc1 Sc 0.0000 0.5000 0.0000 1
Sc2 Sc 0.5000 0.0000 0.0000 1
Ag1 Ag 0.0000 0.0000 0.5000 1
Ag2 Ag 0.5000 0.5000 0.5000 1
O1 O 0.1339 0.8661 0.0000 1
O2 O 0.1894 0.4637 0.5000 1
O3 O 0.4637 0.1894 0.5000 1
O4 O 0.5363 0.8106 0.5000 1
O5 O 0.8106 0.5363 0.5000 1
O6 O 0.8661 0.1339 0.0000 1
# Formation energy from raw total energies   -1.74 eV/atom
# Mass density   5.3 g/cm³
# Uncorrected energy   -0.505 Ry/atom

***

[4]
# GGA-PBEsol ScAgO2, relaxed
data_ScAgO2
_chemical_formula_sum 'Sc2 Ag2 O4'
_cell_length_a 3.1952
_cell_length_b 3.1952
_cell_length_c 12.2780
_cell_angle_alpha 90.00
_cell_angle_beta 90.00
_cell_angle_gamma 120.00
_symmetry_space_group_name_H-M 'P 1'
_symmetry_Int_Tables_number 1
loop_
_symmetry_equiv_pos_as_xyz
'x,y,z'
loop_
_atom_site_label
_atom_site_type_symbol
_atom_site_fract_x
_atom_site_fract_y
_atom_site_fract_z
_atom_site_occupancy
Sc1 Sc 0.0000 0.0000 0.0000 1
Sc2 Sc 0.0000 0.0000 0.5000 1
Ag1 Ag 0.3333 0.6667 0.2500 1
Ag2 Ag 0.6667 0.3333 0.7500 1
O1 O 0.3333 0.6667 0.0831 1
O2 O 0.3333 0.6667 0.4169 1
O3 O 0.6667 0.3333 0.5831 1
O4 O 0.6667 0.3333 0.9169 1
# Formation energy from raw total energies   -2.29 eV/atom
# Mass density   5.7 g/cm³
# Uncorrected energy   -0.544 Ry/atom

***

[5]
# GGA-PBEsol Sc2AgSeO, relaxed
data_Sc2AgSeO
_chemical_formula_sum 'Sc2 Ag1 Se1 O1'
_cell_length_a 5.1015
_cell_length_b 5.1015
_cell_length_c 3.8967
_cell_angle_alpha 90.00
_cell_angle_beta 90.00
_cell_angle_gamma 90.00
_symmetry_space_group_name_H-M 'P 1'
_symmetry_Int_Tables_number 1
loop_
_symmetry_equiv_pos_as_xyz
'x,y,z'
loop_
_atom_site_label
_atom_site_type_symbol
_atom_site_fract_x
_atom_site_fract_y
_atom_site_fract_z
_atom_site_occupancy
Sc1 Sc 0.0000 0.5000 0.0000 1
Sc2 Sc 0.5000 0.0000 0.0000 1
Ag1 Ag 0.0000 0.0000 0.0000 1
Se1 Se 0.5000 0.5000 0.5000 1
O1 O 0.0000 0.0000 0.5000 1
# Formation energy from raw total energies   -0.19 eV/atom
# Mass density   4.8 g/cm³
# Uncorrected energy   -0.390 Ry/atom

***

[6]
# GGA-PBEsol ScTiAgO2, relaxed
data_ScTiAgO2
_chemical_formula_sum 'Sc1 Ti1 Ag1 O2'
_cell_length_a 3.8175
_cell_length_b 3.8175
_cell_length_c 5.8296
_cell_angle_alpha 90.00
_cell_angle_beta 90.00
_cell_angle_gamma 90.00
_symmetry_space_group_name_H-M 'P 1'
_symmetry_Int_Tables_number 1
loop_
_symmetry_equiv_pos_as_xyz
'x,y,z'
loop_
_atom_site_label
_atom_site_type_symbol
_atom_site_fract_x
_atom_site_fract_y
_atom_site_fract_z
_atom_site_occupancy
Sc1 Sc 0.0000 0.0000 0.0000 1
Ti1 Ti 0.0000 0.0000 0.5000 1
Ag1 Ag 0.5000 0.5000 0.0000 1
O1 O 0.0000 0.5000 0.5000 1
O2 O 0.5000 0.0000 0.5000 1
# Formation energy from raw total energies   -0.95 eV/atom
# Mass density   4.5 g/cm³
# Uncorrected energy   -0.492 Ry/atom

***

[7]
# GGA-PBEsol Ag2SeO4, relaxed
data_Ag2SeO4
_chemical_formula_sum 'Ag4 Se2 O8'
_cell_length_a 8.4380
_cell_length_b 6.8985
_cell_length_c 6.3258
_cell_angle_alpha 79.17
_cell_angle_beta 53.42
_cell_angle_gamma 47.42
_symmetry_space_group_name_H-M 'P 1'
_symmetry_Int_Tables_number 1
loop_
_symmetry_equiv_pos_as_xyz
'x,y,z'
loop_
_atom_site_label
_atom_site_type_symbol
_atom_site_fract_x
_atom_site_fract_y
_atom_site_fract_z
_atom_site_occupancy
Ag1 Ag 0.0780 0.6720 0.0780 1
Ag2 Ag 0.3280 0.9220 0.3280 1
Ag3 Ag 0.6720 0.0780 0.6720 1
Ag4 Ag 0.9220 0.3280 0.9220 1
Se1 Se 0.3750 0.3750 0.3750 1
Se2 Se 0.6250 0.6250 0.6250 1
O1 O 0.1993 0.7047 0.3718 1
O2 O 0.2243 0.3718 0.7047 1
O3 O 0.2953 0.8007 0.7757 1
O4 O 0.3718 0.2243 0.1993 1
O5 O 0.6282 0.7757 0.8007 1
O6 O 0.7047 0.1993 0.2243 1
O7 O 0.7757 0.6282 0.2953 1
O8 O 0.8007 0.2953 0.6282 1
# Formation energy from raw total energies   -0.39 eV/atom
# Mass density   5.9 g/cm³
# Uncorrected energy   -0.359 Ry/atom

***

[8]
# GGA-PBEsol AgTe2SeO, relaxed
data_AgTe2SeO
_chemical_formula_sum 'Ag1 Te2 Se1 O1'
_cell_length_a 5.3192
_cell_length_b 5.3192
_cell_length_c 4.9179
_cell_angle_alpha 90.00
_cell_angle_beta 90.00
_cell_angle_gamma 90.00
_symmetry_space_group_name_H-M 'P 1'
_symmetry_Int_Tables_number 1
loop_
_symmetry_equiv_pos_as_xyz
'x,y,z'
loop_
_atom_site_label
_atom_site_type_symbol
_atom_site_fract_x
_atom_site_fract_y
_atom_site_fract_z
_atom_site_occupancy
Ag1 Ag 0.0000 0.0000 0.0000 1
Te1 Te 0.0000 0.5000 0.0000 1
Te2 Te 0.5000 0.0000 0.0000 1
Se1 Se 0.0000 0.0000 0.5000 1
O1 O 0.5000 0.5000 0.5000 1
# Formation energy from raw total energies   1.10 eV/atom
# Mass density   5.5 g/cm³
# Uncorrected energy   -0.205 Ry/atom

***

[9]
# GGA-PBEsol VAgSeO5, relaxed
data_VAgSeO5
_chemical_formula_sum 'V4 Ag4 Se4 O20'
_cell_length_a 3.9520
_cell_length_b 20.3437
_cell_length_c 5.2524
_cell_angle_alpha 90.00
_cell_angle_beta 90.00
_cell_angle_gamma 90.00
_symmetry_space_group_name_H-M 'P 1'
_symmetry_Int_Tables_number 1
loop_
_symmetry_equiv_pos_as_xyz
'x,y,z'
loop_
_atom_site_label
_atom_site_type_symbol
_atom_site_fract_x
_atom_site_fract_y
_atom_site_fract_z
_atom_site_occupancy
V1 V 0.0069 0.1928 0.2500 1
V2 V 0.0069 0.3072 0.7500 1
V3 V 0.9931 0.6928 0.2500 1
V4 V 0.9931 0.8072 0.7500 1
Ag1 Ag 0.0724 0.5208 0.2500 1
Ag2 Ag 0.0724 0.9792 0.7500 1
Ag3 Ag 0.9276 0.0208 0.2500 1
Ag4 Ag 0.9276 0.4792 0.7500 1
Se1 Se 0.3571 0.6194 0.7500 1
Se2 Se 0.3571 0.8806 0.2500 1
Se3 Se 0.6429 0.1194 0.7500 1
Se4 Se 0.6429 0.3806 0.2500 1
O1 O 0.0683 0.6195 0.0050 1
O2 O 0.0683 0.6195 0.4950 1
O3 O 0.0683 0.8805 0.5050 1
O4 O 0.0683 0.8805 0.9950 1
O5 O 0.0758 0.7500 0.0000 1
O6 O 0.0758 0.7500 0.5000 1
O7 O 0.4157 0.1870 0.2500 1
O8 O 0.4157 0.3130 0.7500 1
O9 O 0.4299 0.5372 0.7500 1
O10 O 0.4299 0.9628 0.2500 1
O11 O 0.5701 0.0372 0.7500 1
O12 O 0.5701 0.4628 0.2500 1
O13 O 0.5843 0.6870 0.2500 1
O14 O 0.5843 0.8130 0.7500 1
O15 O 0.9242 0.2500 0.0000 1
O16 O 0.9242 0.2500 0.5000 1
O17 O 0.9317 0.1195 0.0050 1
O18 O 0.9317 0.1195 0.4950 1
O19 O 0.9317 0.3805 0.5050 1
O20 O 0.9317 0.3805 0.9950 1
# Formation energy from raw total energies   -1.31 eV/atom
# Mass density   5.0 g/cm³
# Uncorrected energy   -0.492 Ry/atom

***

[10]
# GGA-PBEsol SiAg5O4, relaxed
data_SiAg5O4
_chemical_formula_sum 'Si4 Ag20 O16'
_cell_length_a 8.8143
_cell_length_b 9.9925
_cell_length_c 6.2699
_cell_angle_alpha 90.00
_cell_angle_beta 90.00
_cell_angle_gamma 90.00
_symmetry_space_group_name_H-M 'P 1'
_symmetry_Int_Tables_number 1
loop_
_symmetry_equiv_pos_as_xyz
'x,y,z'
loop_
_atom_site_label
_atom_site_type_symbol
_atom_site_fract_x
_atom_site_fract_y
_atom_site_fract_z
_atom_site_occupancy
Si1 Si 0.2390 0.1194 0.0000 1
Si2 Si 0.2610 0.6194 0.5000 1
Si3 Si 0.7390 0.3806 0.5000 1
Si4 Si 0.7610 0.8806 0.0000 1
Ag1 Ag 0.0658 0.3792 0.2190 1
Ag2 Ag 0.0658 0.3792 0.7810 1
Ag3 Ag 0.1084 0.8806 0.2694 1
Ag4 Ag 0.1084 0.8806 0.7306 1
Ag5 Ag 0.2095 0.5867 0.0000 1
Ag6 Ag 0.2905 0.0867 0.5000 1
Ag7 Ag 0.3916 0.3806 0.2306 1
Ag8 Ag 0.3916 0.3806 0.7694 1
Ag9 Ag 0.4342 0.8792 0.2810 1
Ag10 Ag 0.4342 0.8792 0.7190 1
Ag11 Ag 0.5658 0.1208 0.2810 1
Ag12 Ag 0.5658 0.1208 0.7190 1
Ag13 Ag 0.6084 0.6194 0.2306 1
Ag14 Ag 0.6084 0.6194 0.7694 1
Ag15 Ag 0.7095 0.9133 0.5000 1
Ag16 Ag 0.7905 0.4133 0.0000 1
Ag17 Ag 0.8916 0.1194 0.2694 1
Ag18 Ag 0.8916 0.1194 0.7306 1
Ag19 Ag 0.9342 0.6208 0.2190 1
Ag20 Ag 0.9342 0.6208 0.7810 1
O1 O 0.0943 0.6971 0.5000 1
O2 O 0.1464 0.1608 0.2197 1
O3 O 0.1464 0.1608 0.7803 1
O4 O 0.2395 0.4539 0.5000 1
O5 O 0.2605 0.9539 0.0000 1
O6 O 0.3536 0.6608 0.2803 1
O7 O 0.3536 0.6608 0.7197 1
O8 O 0.4057 0.1971 0.0000 1
O9 O 0.5943 0.8029 0.0000 1
O10 O 0.6464 0.3392 0.2803 1
O11 O 0.6464 0.3392 0.7197 1
O12 O 0.7395 0.0461 0.0000 1
O13 O 0.7605 0.5461 0.5000 1
O14 O 0.8536 0.8392 0.2197 1
O15 O 0.8536 0.8392 0.7803 1
O16 O 0.9057 0.3029 0.5000 1
# Formation energy from raw total energies   -0.84 eV/atom
# Mass density   7.6 g/cm³
# Uncorrected energy   -0.380 Ry/atom

***

[11]
# GGA-PBEsol Si2Ag2O5, relaxed
data_Si2Ag2O5
_chemical_formula_sum 'Si8 Ag8 O20'
_cell_length_a 5.9965
_cell_length_b 4.9584
_cell_length_c 16.6161
_cell_angle_alpha 90.00
_cell_angle_beta 90.00
_cell_angle_gamma 90.00
_symmetry_space_group_name_H-M 'P 1'
_symmetry_Int_Tables_number 1
loop_
_symmetry_equiv_pos_as_xyz
'x,y,z'
loop_
_atom_site_label
_atom_site_type_symbol
_atom_site_fract_x
_atom_site_fract_y
_atom_site_fract_z
_atom_site_occupancy
Si1 Si 0.1018 0.2149 0.1617 1
Si2 Si 0.1018 0.7851 0.6617 1
Si3 Si 0.3982 0.2851 0.6617 1
Si4 Si 0.3982 0.7149 0.1617 1
Si5 Si 0.6018 0.2851 0.8383 1
Si6 Si 0.6018 0.7149 0.3383 1
Si7 Si 0.8982 0.2149 0.3383 1
Si8 Si 0.8982 0.7851 0.8383 1
Ag1 Ag 0.1130 0.2444 0.9749 1
Ag2 Ag 0.1130 0.7556 0.4749 1
Ag3 Ag 0.3870 0.2556 0.4749 1
Ag4 Ag 0.3870 0.7444 0.9749 1
Ag5 Ag 0.6130 0.2556 0.0251 1
Ag6 Ag 0.6130 0.7444 0.5251 1
Ag7 Ag 0.8870 0.2444 0.5251 1
Ag8 Ag 0.8870 0.7556 0.0251 1
O1 O 0.0000 0.2740 0.2500 1
O2 O 0.0000 0.7260 0.7500 1
O3 O 0.0680 0.2945 0.4100 1
O4 O 0.0680 0.7055 0.9100 1
O5 O 0.1679 0.1059 0.6539 1
O6 O 0.1679 0.8941 0.1539 1
O7 O 0.3321 0.3941 0.1539 1
O8 O 0.3321 0.6059 0.6539 1
O9 O 0.4320 0.2055 0.9100 1
O10 O 0.4320 0.7945 0.4100 1
O11 O 0.5000 0.2260 0.7500 1
O12 O 0.5000 0.7740 0.2500 1
O13 O 0.5680 0.2055 0.5900 1
O14 O 0.5680 0.7945 0.0900 1
O15 O 0.6679 0.3941 0.3461 1
O16 O 0.6679 0.6059 0.8461 1
O17 O 0.8321 0.1059 0.8461 1
O18 O 0.8321 0.8941 0.3461 1
O19 O 0.9320 0.2945 0.0900 1
O20 O 0.9320 0.7055 0.5900 1
# Formation energy from raw total energies   -1.83 eV/atom
# Mass density   4.7 g/cm³
# Uncorrected energy   -0.497 Ry/atom

***

[12]
# GGA-PBEsol YSi2Ag3O7, relaxed
data_YSi2Ag3O7
_chemical_formula_sum 'Y6 Si12 Ag18 O42'
_cell_length_a 9.3671
_cell_length_b 9.3671
_cell_length_c 14.0308
_cell_angle_alpha 90.00
_cell_angle_beta 90.00
_cell_angle_gamma 120.00
_symmetry_space_group_name_H-M 'P 1'
_symmetry_Int_Tables_number 1
loop_
_symmetry_equiv_pos_as_xyz
'x,y,z'
loop_
_atom_site_label
_atom_site_type_symbol
_atom_site_fract_x
_atom_site_fract_y
_atom_site_fract_z
_atom_site_occupancy
Y1 Y 0.0000 0.0000 0.2500 1
Y2 Y 0.0000 0.0000 0.7500 1
Y3 Y 0.3333 0.6667 0.0203 1
Y4 Y 0.3333 0.6667 0.4797 1
Y5 Y 0.6667 0.3333 0.5203 1
Y6 Y 0.6667 0.3333 0.9797 1
Si1 Si 0.0183 0.6660 0.6419 1
Si2 Si 0.0183 0.6660 0.8581 1
Si3 Si 0.3340 0.3523 0.6419 1
Si4 Si 0.3340 0.3523 0.8581 1
Si5 Si 0.3523 0.0183 0.1419 1
Si6 Si 0.3523 0.0183 0.3581 1
Si7 Si 0.6477 0.9817 0.6419 1
Si8 Si 0.6477 0.9817 0.8581 1
Si9 Si 0.6660 0.6477 0.1419 1
Si10 Si 0.6660 0.6477 0.3581 1
Si11 Si 0.9817 0.3340 0.1419 1
Si12 Si 0.9817 0.3340 0.3581 1
Ag1 Ag 0.0000 0.0000 0.0000 1
Ag2 Ag 0.0000 0.0000 0.5000 1
Ag3 Ag 0.0063 0.6974 0.0793 1
Ag4 Ag 0.0063 0.6974 0.4207 1
Ag5 Ag 0.3026 0.3088 0.0793 1
Ag6 Ag 0.3026 0.3088 0.4207 1
Ag7 Ag 0.3088 0.0063 0.5793 1
Ag8 Ag 0.3088 0.0063 0.9207 1
Ag9 Ag 0.3333 0.6667 0.2500 1
Ag10 Ag 0.3333 0.6667 0.7500 1
Ag11 Ag 0.6667 0.3333 0.2500 1
Ag12 Ag 0.6667 0.3333 0.7500 1
Ag13 Ag 0.6912 0.9937 0.0793 1
Ag14 Ag 0.6912 0.9937 0.4207 1
Ag15 Ag 0.6974 0.6912 0.5793 1
Ag16 Ag 0.6974 0.6912 0.9207 1
Ag17 Ag 0.9937 0.3026 0.5793 1
Ag18 Ag 0.9937 0.3026 0.9207 1
O1 O 0.0521 0.2052 0.1456 1
O2 O 0.0521 0.2052 0.3544 1
O3 O 0.0975 0.6742 0.7500 1
O4 O 0.1211 0.5235 0.1191 1
O5 O 0.1211 0.5235 0.3809 1
O6 O 0.1532 0.9479 0.1456 1
O7 O 0.1532 0.9479 0.3544 1
O8 O 0.1743 0.7306 0.5682 1
O9 O 0.1743 0.7306 0.9318 1
O10 O 0.2052 0.1532 0.6456 1
O11 O 0.2052 0.1532 0.8544 1
O12 O 0.2694 0.4437 0.5682 1
O13 O 0.2694 0.4437 0.9318 1
O14 O 0.3258 0.4232 0.7500 1
O15 O 0.4025 0.8789 0.1191 1
O16 O 0.4025 0.8789 0.3809 1
O17 O 0.4232 0.0975 0.2500 1
O18 O 0.4437 0.1743 0.0682 1
O19 O 0.4437 0.1743 0.4318 1
O20 O 0.4765 0.5975 0.1191 1
O21 O 0.4765 0.5975 0.3809 1
O22 O 0.5235 0.4025 0.6191 1
O23 O 0.5235 0.4025 0.8809 1
O24 O 0.5563 0.8257 0.5682 1
O25 O 0.5563 0.8257 0.9318 1
O26 O 0.5768 0.9025 0.7500 1
O27 O 0.5975 0.1211 0.6191 1
O28 O 0.5975 0.1211 0.8809 1
O29 O 0.6742 0.5768 0.2500 1
O30 O 0.7306 0.5563 0.0682 1
O31 O 0.7306 0.5563 0.4318 1
O32 O 0.7948 0.8468 0.1456 1
O33 O 0.7948 0.8468 0.3544 1
O34 O 0.8257 0.2694 0.0682 1
O35 O 0.8257 0.2694 0.4318 1
O36 O 0.8468 0.0521 0.6456 1
O37 O 0.8468 0.0521 0.8544 1
O38 O 0.8789 0.4765 0.6191 1
O39 O 0.8789 0.4765 0.8809 1
O40 O 0.9025 0.3258 0.2500 1
O41 O 0.9479 0.7948 0.6456 1
O42 O 0.9479 0.7948 0.8544 1
# Formation energy from raw total energies   -2.00 eV/atom
# Mass density   5.4 g/cm³
# Uncorrected energy   -0.514 Ry/atom